DFT (SCAN) results for Pu3Ge at its PBEsol-relaxed geometry.

```
Pu3Ge
1.0
4.393 0.000 0.000
0.000 4.393 0.000
0.000 0.000 4.393
Pu Ge
3 1
Cartesian
0.000 0.000 2.196
0.000 2.196 0.000
2.196 0.000 0.000
2.196 2.196 2.196
```

E_tot = -349.60 eV/f.u.